[1]
A relaxed structure of Tm2SiHg. Source: Alexandria via LeMat-Bulk, functional GGA-PBE.

Results
M_tot: 0.0 μB per formula unit
raw formation energy: -0.409 eV/atom

abc: 3.7818 3.7818 24.3923
angles: 90.00 90.00 120.00
With the nearest neighbours (Å) after each atom.
Space group R-3m (No. 166, hexagonal axes)
Asymmetric unit:
Tm1 0.0000 0.0000 0.2401 (multiplicity 6)  3 Si 2.82, 3 Hg 3.15
Si1 0.0000 0.0000 0.5000 (multiplicity 3)  6 Tm 2.82
Hg1 0.0000 0.0000 0.0000 (multiplicity 3)  6 Tm 3.15

***

[2]
A relaxed structure of LiAcAlZn6. Source: Alexandria via LeMat-Bulk, functional GGA-PBE.

Results
M_tot: 0.0 μB per formula unit
calculated formation energy: -0.06 eV per atom

abc: 6.6897 6.9931 15.0337
angles: 90.00 90.00 90.00
With the nearest neighbours (Å) after each atom.
Space group Imma (No. 74)
Asymmetric unit:
Li1 0.0000 0.0000 0.0000 (multiplicity 4)  6 Zn 2.51-2.64
Ac1 0.0000 0.2500 0.4580 (multiplicity 4)  10 Zn 3.36-3.68, 2 Al 3.55, 2 Ac 3.72
Al1 0.2500 0.2500 0.2500 (multiplicity 4)  6 Zn 2.58-2.72
Zn1 0.0000 0.2500 0.1196 (multiplicity 4)  2 Li 2.51, 2 Al 2.58, 4 Zn 2.64
Zn2 0.0000 0.2500 0.7160 (multiplicity 4)  8 Zn 2.57-2.79
Zn3 0.2051 0.0667 0.8535 (multiplicity 16)  5 Zn 2.56-2.79, 1 Li 2.64, 1 Al 2.72

***

[3]
A relaxed structure of Be2AlW. Source: Alexandria via LeMat-Bulk, functional GGA-PBE.

Results
M_tot: 0.0 μB per formula unit
calculated formation energy: 0.48 eV per atom

abc: 6.3475 6.3475 5.0272
angles: 90.00 90.00 90.00
With the nearest neighbours (Å) after each atom.
Space group I-42d (No. 122)
Asymmetric unit:
Be1 0.2376 0.2500 0.1250 (multiplicity 8)  2 Al 2.28, 2 W 2.38, 2 Be 2.52
Al1 0.0000 0.0000 0.0000 (multiplicity 4)  4 Be 2.28, 2 W 2.51
W1 0.0000 0.0000 0.5000 (multiplicity 4)  4 Be 2.38, 2 Al 2.51

***

[4]
A relaxed structure of Pm5ErSe6. Source: Alexandria via LeMat-Bulk, functional GGA-PBE.

Results
M_tot: 0.0 μB per formula unit
raw formation energy: -1.814 eV/atom

abc: 7.2251 12.5377 7.2098
angles: 90.00 109.59 90.00
With the nearest neighbours (Å) after each atom.
Space group C2/m (No. 12)
Asymmetric unit:
Pm1 0.0000 0.0000 0.0000 (multiplicity 2)  6 Se 2.94-3.01
Pm2 0.0000 0.1680 0.5000 (multiplicity 4)  6 Se 2.94-2.98
Pm3 0.0000 0.3273 0.0000 (multiplicity 4)  6 Se 2.95-2.99
Er1 0.0000 0.5000 0.5000 (multiplicity 2)  6 Se 2.86-2.88
Se1 0.2413 0.5000 0.2522 (multiplicity 4)  1 Er 2.88, 5 Pm 2.98-3.01
Se2 0.2431 0.3385 0.7435 (multiplicity 8)  1 Er 2.86, 5 Pm 2.94-2.98